Record 1
Entry from Alexandria: an optimized crystal structure of ZrAl2Cr2 (PBE).

Lattice parameters (Å, degrees): 7.458 7.458 2.779 90.00 90.00 90.00
Positions (direct):
Zr1 0.000 0.000 0.000
Zr2 0.500 0.500 0.000
Al1 0.187 0.313 0.500
Al2 0.313 0.813 0.500
Al3 0.687 0.187 0.500
Al4 0.813 0.687 0.500
Cr1 0.102 0.602 0.000
Cr2 0.398 0.102 0.000
Cr3 0.602 0.898 0.000
Cr4 0.898 0.398 0.000

formation enthalpy at 0 K: -0.01 eV/atom
polymorph energy (0 for the lowest one): 5 meV/atom
mass density: 5.4 g/cm3
space group: No. 127

=====

Record 2
Entry from Alexandria: an optimized crystal structure of Zr4AlCr (PBE).

Lattice parameters (Å, degrees): 5.697 5.697 5.697 60.00 60.00 60.00
Positions (direct):
Zr1 0.125 0.125 0.125
Zr2 0.125 0.125 0.624
Zr3 0.125 0.624 0.125
Zr4 0.624 0.125 0.125
Al1 0.750 0.750 0.750
Cr1 0.500 0.500 0.500

formation enthalpy at 0 K: 0.46 eV/atom
mass density: 5.6 g/cm3
space group: No. 216

=====

Record 3
Entry from Alexandria: an optimized crystal structure of ZrAlCr (PBE).

Lattice parameters (Å, degrees): 4.470 4.470 3.137 90.00 90.00 120.00
Positions (direct):
Zr1 0.000 0.000 0.000
Al1 0.667 0.333 0.500
Cr1 0.333 0.667 0.500

formation enthalpy at 0 K: -0.03 eV/atom
mass density: 5.2 g/cm3
space group: No. 187

=====

Record 4
Entry from Alexandria: an optimized crystal structure of Zr2AlCr (PBE).

Lattice parameters (Å, degrees): 8.862 8.862 8.862 20.76 20.76 20.76
Positions (direct):
Zr1 0.241 0.241 0.241
Zr2 0.759 0.759 0.759
Al1 0.000 0.000 0.000
Cr1 0.500 0.500 0.500

formation enthalpy at 0 K: 0.15 eV/atom
mass density: 5.7 g/cm3
space group: No. 166

=====

Record 5
Entry from Alexandria: an optimized crystal structure of ZrAl2Cr (PBE).

Lattice parameters (Å, degrees): 3.054 3.054 7.124 90.00 90.00 90.00
Positions (direct):
Zr1 0.000 0.000 0.000
Al1 0.500 0.500 0.289
Al2 0.500 0.500 0.711
Cr1 0.000 0.000 0.500

formation enthalpy at 0 K: -0.21 eV/atom
mass density: 4.9 g/cm3
space group: No. 123

=====

Record 6
Entry from Alexandria: an optimized crystal structure of Zr2AlCr (PBE).

Lattice parameters (Å, degrees): 4.729 4.729 4.729 60.00 60.00 60.00
Positions (direct):
Zr1 0.000 0.000 0.000
Zr2 0.250 0.250 0.250
Al1 0.500 0.500 0.500
Cr1 0.750 0.750 0.750

formation enthalpy at 0 K: 0.01 eV/atom
mass density: 5.8 g/cm3
space group: No. 216

=====

Record 7
Entry from Alexandria: an optimized crystal structure of ZrAl2Cr (PBE).

Lattice parameters (Å, degrees): 2.889 3.937 5.842 90.00 90.00 90.00
Positions (direct):
Zr1 0.000 0.000 0.000
Al1 0.500 0.500 0.280
Al2 0.500 0.500 0.720
Cr1 0.000 0.000 0.500

formation enthalpy at 0 K: -0.14 eV/atom
mass density: 4.9 g/cm3
space group: No. 47

=====

Record 8
Entry from Alexandria: an optimized crystal structure of ZrAl2Cr (PBE).

Lattice parameters (Å, degrees): 4.520 4.520 4.520 60.00 60.00 60.00
Positions (direct):
Zr1 0.000 0.000 0.000
Al1 0.250 0.250 0.250
Al2 0.500 0.500 0.500
Cr1 0.750 0.750 0.750

formation enthalpy at 0 K: -0.05 eV/atom
mass density: 5.0 g/cm3
space group: No. 216